Ce2MnP3Ir12, relaxed, DFT PBE-GGA; formation energy = -0.032 eV/atom; ρ = 14.16 Mg/m³; SG = R-3m; size of the total moment = 3.5 μB/f.u.
1.0
-3.646 4.911 3.896
-7.158 -0.836 -0.811
-2.946 -3.028 5.895
Ce Ir Mn P
2 12 1 3
direct
0.605 0.605 0.605
0.395 0.395 0.395
0.855 0.372 0.855
0.907 0.346 0.346
0.855 0.855 0.372
0.145 0.628 0.145
0.372 0.855 0.855
0.093 0.654 0.654
0.145 0.145 0.628
0.346 0.907 0.346
0.628 0.145 0.145
0.654 0.654 0.093
0.346 0.346 0.907
0.654 0.093 0.654
0.000 0.000 0.000
0.000 0.000 0.500
0.500 0.000 0.000
0.000 0.500 0.000

---

SrPb2Au, relaxed, DFT PBE-GGA; formation energy = -0.245 eV/atom; ρ = 10.26 Mg/m³; SG = Fm-3m; size of the total moment = 0.0 μB/f.u.
1.0
-1.779 -4.925 1.430
-3.228 -0.569 4.327
-5.229 -1.297 -0.667
Au Pb Sr
1 2 1
direct
0.500 0.500 0.500
0.250 0.250 0.250
0.750 0.750 0.750
0.000 0.000 0.000

---

TaFeCo3, relaxed, DFT PBE-GGA; formation energy = 0.352 eV/atom; ρ = 10.54 Mg/m³; SG = P6_3/mmc; size of the total moment = 4.5 μB/f.u.; offset from the most stable computed form = 0.000 eV/atom
1.0
4.554 0.000 0.000
0.000 5.748 -0.001
0.000 -2.873 4.978
Co Fe Ta
6 2 2
direct
0.250 0.801 0.603
0.750 0.199 0.801
0.750 0.199 0.397
0.250 0.397 0.199
0.750 0.603 0.801
0.250 0.801 0.199
0.500 0.000 0.000
0.000 0.000 0.000
0.750 0.666 0.334
0.250 0.334 0.666